*a*
PaSnAu4: relaxed, GGA-PBE.

a b c (Å): 5.652 5.652 5.652
angles (deg): 60.00 60.00 60.00
Fractional coordinates of all 6 atoms:
Pa 0.000 0.000 0.000
Sn 0.750 0.750 0.750
Au 0.375 0.375 0.375
Au 0.375 0.375 0.876
Au 0.375 0.876 0.375
Au 0.876 0.375 0.375

Symmetry: No. 216
D(E_F): 8.9 states/eV/f.u.



*b*
PaSnAu4: relaxed, GGA-PBE.

a b c (Å): 4.546 4.546 7.256
angles (deg): 90.05 90.05 90.01
Fractional coordinates of all 6 atoms:
Pa 0.000 0.000 0.000
Sn 0.501 0.499 0.500
Au 0.000 0.500 0.262
Au 0.000 0.500 0.738
Au 0.500 0.000 0.262
Au 0.500 0.000 0.738

Symmetry: No. 5
D(E_F): 5.0 states/eV/f.u.



Here are the energies relative to the best structure, in eV/atom: *a* 0.000; *b* 0.073.



*a*
TbPaAu: relaxed, GGA-PBE.

a b c (Å): 4.982 4.982 6.819
angles (deg): 90.00 90.00 120.00
Fractional coordinates of all 6 atoms:
Tb 0.000 0.000 0.228
Tb 0.000 0.000 0.772
Pa 0.333 0.667 0.476
Pa 0.667 0.333 0.524
Au 0.333 0.667 0.950
Au 0.667 0.333 0.050

Symmetry: No. 164
D(E_F): 6.5 states/eV/f.u.



*b*
TbPaAu: relaxed, GGA-PBE.

a b c (Å): 7.081 7.081 7.081
angles (deg): 152.56 152.56 39.19
Fractional coordinates of all 3 atoms:
Tb 0.000 0.000 0.000
Pa 0.694 0.694 0.000
Au 0.352 0.352 0.000

Symmetry: No. 107
D(E_F): 5.2 states/eV/f.u.



Here are the energies relative to the best structure, in eV/atom: *a* 0.139; *b* 0.000.



*a*
PaTc2Au: relaxed, GGA-PBE.

a b c (Å): 4.659 4.659 4.659
angles (deg): 60.00 60.00 60.00
Fractional coordinates of all 4 atoms:
Pa 0.000 0.000 0.000
Tc 0.250 0.250 0.250
Tc 0.750 0.750 0.750
Au 0.500 0.500 0.500

Symmetry: No. 225
D(E_F): 7.9 states/eV/f.u.



*b*
PaTc2Au: relaxed, GGA-PBE.

a b c (Å): 9.294 9.294 9.294
angles (deg): 20.10 20.10 20.10
Fractional coordinates of all 4 atoms:
Pa 0.000 0.000 0.000
Tc 0.400 0.400 0.400
Tc 0.600 0.600 0.600
Au 0.500 0.500 0.500

Symmetry: No. 166
D(E_F): 3.1 states/eV/f.u.



Here are the energies relative to the best structure, in eV/atom: *a* 0.000; *b* 0.471.



*a*
ThPaAu: relaxed, GGA-PBE.

a b c (Å): 5.094 5.094 3.358
angles (deg): 90.00 90.00 120.00
Fractional coordinates of all 3 atoms:
Th 0.000 0.000 0.000
Pa 0.333 0.667 0.386
Au 0.667 0.333 0.616

Symmetry: No. 156
D(E_F): 6.5 states/eV/f.u.



*b*
ThPaAu: relaxed, GGA-PBE.

a b c (Å): 7.464 7.464 7.464
angles (deg): 154.39 154.39 36.53
Fractional coordinates of all 3 atoms:
Th 0.000 0.000 0.000
Pa 0.688 0.688 0.000
Au 0.339 0.339 0.000

Symmetry: No. 107
D(E_F): 4.5 states/eV/f.u.



Here are the energies relative to the best structure, in eV/atom: *a* 0.127; *b* 0.000.



*a*
PaTi2Au: relaxed, GGA-PBE.

a b c (Å): 4.807 4.807 4.807
angles (deg): 60.07 60.07 60.07
Fractional coordinates of all 4 atoms:
Pa 0.000 0.000 0.000
Ti 0.500 0.500 0.500
Ti 0.751 0.751 0.751
Au 0.250 0.250 0.250

Symmetry: No. 160
D(E_F): 2.7 states/eV/f.u.



*b*
PaTi2Au: relaxed, GGA-PBE.

a b c (Å): 4.713 4.713 4.713
angles (deg): 60.00 60.00 60.00
Fractional coordinates of all 4 atoms:
Pa 0.000 0.000 0.000
Ti 0.250 0.250 0.250
Ti 0.750 0.750 0.750
Au 0.500 0.500 0.500

Symmetry: No. 225
D(E_F): 5.8 states/eV/f.u.



*c*
PaTi2Au: relaxed, GGA-PBE.

a b c (Å): 4.859 4.859 3.143
angles (deg): 90.00 90.00 90.00
Fractional coordinates of all 4 atoms:
Pa 0.000 0.000 0.000
Ti 0.000 0.500 0.500
Ti 0.500 0.000 0.500
Au 0.500 0.500 0.000

Symmetry: No. 123
D(E_F): 4.8 states/eV/f.u.



*d*
PaTi2Au: relaxed, GGA-PBE.

a b c (Å): 3.387 3.387 6.511
angles (deg): 90.00 90.00 90.00
Fractional coordinates of all 4 atoms:
Pa 0.000 0.000 0.000
Ti 0.500 0.500 0.252
Ti 0.500 0.500 0.748
Au 0.000 0.000 0.500

Symmetry: No. 123
D(E_F): 4.7 states/eV/f.u.



Here are the energies relative to the best structure, in eV/atom: *a* 0.124; *b* 0.139; *c* 0.000; *d* 0.010.



*a*
Pa2TiAu: relaxed, GGA-PBE.

a b c (Å): 4.195 4.195 4.830
angles (deg): 90.00 90.00 90.00
Fractional coordinates of all 4 atoms:
Pa 0.000 0.500 0.000
Pa 0.500 0.000 0.000
Ti 0.000 0.000 0.500
Au 0.500 0.500 0.500

Symmetry: No. 123
D(E_F): 7.0 states/eV/f.u.



*b*
Pa2TiAu: relaxed, GGA-PBE.

a b c (Å): 3.051 3.051 9.363
angles (deg): 90.00 90.00 90.00
Fractional coordinates of all 4 atoms:
Pa 0.000 0.000 0.246
Pa 0.000 0.000 0.754
Ti 0.500 0.500 0.000
Au 0.500 0.500 0.500

Symmetry: No. 123
D(E_F): 6.6 states/eV/f.u.



Here are the energies relative to the best structure, in eV/atom: *a* 0.000; *b* 0.008.